Record 1
A crystal of LiNiRh2 relaxed with PBEsol, computed with SCAN.

a = 2.683 Å, b = 4.419 Å, c = 8.604 Å
α = 90.00°, β = 90.00°, γ = 90.00°
Space group Cmmm (No. 65)
Unique sites:
1 Li 0.000 0.000 0.000
2 Ni 0.000 0.000 0.500
3 Rh 0.000 0.500 0.256

Values from the calculation:
Distance to the lowest polymorph of the same formula (kJ/mol of atoms): 9.0
N(E_F) (states/eV/f.u.): 3.1
Size of the total moment (μB/cell): 3.82
Energy relative to the elements (eV per atom): 0.03
Calculated volume (A^3/atom): 12.75



Record 2
A crystal of LaInC2F relaxed with PBEsol, computed with SCAN.

a = 4.563 Å, b = 4.563 Å, c = 4.254 Å
α = 90.00°, β = 90.00°, γ = 90.00°
Space group P4/mmm (No. 123)
Unique sites:
1 La 0.000 0.000 0.000
2 In 0.500 0.500 0.000
3 C 0.000 0.500 0.500
4 F 0.000 0.000 0.500

Values from the calculation:
Uncorrected formation energy (eV per atom): 1.0974
N(E_F) (states/eV/f.u.): 2.3
Size of the total moment (μB/cell): 0.92
Calculated volume (A^3/atom): 17.71



Record 3
A crystal of BaHfHS2 relaxed with PBEsol, computed with SCAN.

a = 5.073 Å, b = 5.073 Å, c = 3.557 Å
α = 90.00°, β = 90.00°, γ = 90.00°
Space group P4/mmm (No. 123)
Unique sites:
1 Ba 0.000 0.000 0.000
2 Hf 0.500 0.500 0.000
3 H 0.500 0.500 0.500
4 S 0.000 0.500 0.500

Values from the calculation:
DFT total energy (eV for the cell shown): -128.9
N(E_F) (states/eV/f.u.): 1.9
Size of the total moment (μB/cell): 0.00
Calculated volume (A^3/atom): 18.31



Record 4
A crystal of BaSr3I relaxed with PBEsol, computed with SCAN.

a = 7.326 Å, b = 7.326 Å, c = 7.326 Å
α = 90.00°, β = 90.00°, γ = 90.00°
Space group Pm-3m (No. 221)
Unique sites:
1 Ba 0.000 0.000 0.000
2 Sr 0.000 0.000 0.500
3 I 0.500 0.500 0.500

Values from the calculation:
Uncorrected formation energy (eV per atom): 0.5958
N(E_F) (states/eV/f.u.): 7.4
Size of the total moment (μB/cell): 0.99
Calculated volume (A^3/atom): 78.64